[1]
# PrHoAl2, relaxed, DFT PBE
# ΔE_f: -1.49 eV/f.u.
# M_tot: 0.00 μB/f.u.
data_PrHoAl2
_symmetry_space_group_name_H-M 'P 1'
_symmetry_Int_Tables_number 1
_cell_length_a 3.6753
_cell_length_b 3.6753
_cell_length_c 7.3103
_cell_angle_alpha 90.00
_cell_angle_beta 90.00
_cell_angle_gamma 90.00
loop_
_symmetry_equiv_pos_as_xyz
'x,y,z'
loop_
_atom_site_label
_atom_site_fract_x
_atom_site_fract_y
_atom_site_fract_z
Al1 0.0000 0.0000 0.7696
Al2 0.0000 0.0000 0.2304
Pr1 0.5000 0.5000 0.5000
Ho1 0.5000 0.5000 0.0000

[2]
# LiUTa2N4, relaxed, DFT PBE
# formation energy (no corrections): -9.74 eV/f.u.
# M_tot: 0.00 μB/f.u.
data_LiUTa2N4
_symmetry_space_group_name_H-M 'P 1'
_symmetry_Int_Tables_number 1
_cell_length_a 3.1817
_cell_length_b 5.4060
_cell_length_c 5.5285
_cell_angle_alpha 107.79
_cell_angle_beta 90.00
_cell_angle_gamma 90.00
loop_
_symmetry_equiv_pos_as_xyz
'x,y,z'
loop_
_atom_site_label
_atom_site_fract_x
_atom_site_fract_y
_atom_site_fract_z
N1 0.5000 0.7300 0.7381
N2 0.0000 0.2409 0.7303
N3 0.0000 0.7591 0.2697
N4 0.5000 0.2700 0.2619
Ta1 0.0000 0.5000 0.5000
Ta2 0.5000 0.0000 0.5000
U1 0.0000 0.0000 0.0000
Li1 0.5000 0.5000 0.0000

DOS at the Fermi energy
In order: 0.38 0.36
Unit: states/eV per atom